Density functional theory data (PBEsol) for a relaxed structure of Y2CdPt.

Calculated values
- ΔH_f (0 K): -0.732 eV/atom
- Calculated density: 9.03 Mg/m³

Cell lengths 4.982, 4.982, 3.593 Å; angles 90.00, 90.00, 90.00 degrees
Space group P4/mmm (No. 123)
Symmetry-distinct sites (fractional):
Y  0.000  0.500  0.000 (multiplicity 2)
Cd  0.000  0.000  0.500 (multiplicity 1)
Pt  0.500  0.500  0.500 (multiplicity 1)

Density functional theory data (PBEsol) for a relaxed structure of TcNiSN2.

Calculated values
- Raw formation energy: 1.283 eV/atom
- Calculated density: 6.25 Mg/m³

Cell lengths 3.610, 3.610, 4.417 Å; angles 90.00, 90.00, 90.00 degrees
Space group P4/mmm (No. 123)
Symmetry-distinct sites (fractional):
Tc  0.000  0.000  0.000 (multiplicity 1)
Ni  0.500  0.500  0.500 (multiplicity 1)
S  0.500  0.500  0.000 (multiplicity 1)
N  0.000  0.500  0.500 (multiplicity 2)

Density functional theory data (PBEsol) for a relaxed structure of ScMoW2.

Calculated values
- ΔH_f (0 K): 0.441 eV/atom
- Calculated density: 12.43 Mg/m³
- ΔE to the lowest computed polymorph: 1.20 eV/f.u.

Cell lengths 2.9812, 2.9812, 26.4715 Å; angles 90.00, 90.00, 120.00 degrees
Space group R3m (No. 160, hexagonal axes)
Symmetry-distinct sites (fractional):
Sc  0.0000  0.0000  0.0000 (multiplicity 3)
Mo  0.0000  0.0000  0.7561 (multiplicity 3)
W  0.0000  0.0000  0.2435 (multiplicity 3)
W  0.0000  0.0000  0.4984 (multiplicity 3)

Density functional theory data (PBEsol) for a relaxed structure of Sc2PdI.

Calculated values
- Raw formation energy: -0.393 eV/atom
- Calculated density: 6.60 Mg/m³

Cell lengths 6.877, 6.877, 6.877 Å; angles 90.00, 90.00, 90.00 degrees
Space group Fm-3m (No. 225)
Symmetry-distinct sites (fractional):
Sc  0.250  0.250  0.250 (multiplicity 8)
Pd  0.000  0.000  0.000 (multiplicity 4)
I  0.000  0.000  0.500 (multiplicity 4)

Density functional theory data (PBEsol) for a relaxed structure of Cd2WBr.

Calculated values
- Raw formation energy: 0.704 eV/atom
- Calculated density: 9.60 Mg/m³
- ΔE to the lowest computed polymorph: 0.75 eV/f.u.

Cell lengths 2.854, 4.423, 13.395 Å; angles 90.00, 90.00, 90.00 degrees
Space group Immm (No. 71)
Symmetry-distinct sites (fractional):
Cd  0.000  0.000  0.194 (multiplicity 4)
W  0.000  0.500  0.500 (multiplicity 2)
Br  0.000  0.500  0.000 (multiplicity 2)

Density functional theory data (PBEsol) for a relaxed structure of CuPO4.

Calculated values
- Raw formation energy: -1.413 eV/atom
- Calculated density: 3.39 Mg/m³

Cell lengths 9.830, 5.937, 5.320 Å; angles 90.00, 90.00, 90.00 degrees
Space group Pnma (No. 62)
Symmetry-distinct sites (fractional):
Cu  0.188  0.250  0.123 (multiplicity 4)
P  0.114  0.750  0.042 (multiplicity 4)
O  0.042  0.250  0.916 (multiplicity 4)
O  0.139  0.750  0.756 (multiplicity 4)
O  0.181  0.553  0.187 (multiplicity 8)

Density functional theory data (PBEsol) for a relaxed structure of SrAsCl2.

Calculated values
- Raw formation energy: -0.997 eV/atom
- Calculated density: 4.33 Mg/m³
- ΔE to the lowest computed polymorph: 0.31 eV/f.u.

Cell lengths 4.671, 4.671, 4.107 Å; angles 90.00, 90.00, 90.00 degrees
Space group P4/mmm (No. 123)
Symmetry-distinct sites (fractional):
Sr  0.000  0.000  0.000 (multiplicity 1)
As  0.500  0.500  0.000 (multiplicity 1)
Cl  0.000  0.500  0.500 (multiplicity 2)

Density functional theory data (PBEsol) for a relaxed structure of Zn2MoAs.

Calculated values
- ΔH_f (0 K): 0.159 eV/atom
- Calculated density: 8.34 Mg/m³

Cell lengths 5.050, 8.208, 2.897 Å; angles 90.00, 90.00, 90.00 degrees
Space group Cmmm (No. 65)
Symmetry-distinct sites (fractional):
Zn  0.250  0.250  0.000 (multiplicity 4)
Mo  0.000  0.000  0.500 (multiplicity 2)
As  0.000  0.500  0.500 (multiplicity 2)

Density functional theory data (PBEsol) for a relaxed structure of MgAlAg2.

Calculated values
- ΔH_f (0 K): -0.128 eV/atom
- Calculated density: 6.53 Mg/m³
- ΔE to the lowest computed polymorph: 0.30 eV/f.u.

Cell lengths 3.039, 3.971, 5.629 Å; angles 90.00, 90.00, 90.00 degrees
Space group Pmm2 (No. 25)
Symmetry-distinct sites (fractional):
Mg  0.000  0.000  0.000 (multiplicity 1)
Al  0.500  0.500  0.710 (multiplicity 1)
Ag  0.000  0.000  0.500 (multiplicity 1)
Ag  0.500  0.500  0.224 (multiplicity 1)

Density functional theory data (PBEsol) for a relaxed structure of AlNiPt2.

Calculated values
- ΔH_f (0 K): -0.575 eV/atom
- Calculated density: 14.77 Mg/m³

Cell lengths 9.213, 2.782, 4.406 Å; angles 90.00, 108.59, 90.00 degrees
Space group Cm (No. 8)
Symmetry-distinct sites (fractional):
Al  0.000  0.000  0.000 (multiplicity 2)
Ni  0.223  0.500  0.316 (multiplicity 2)
Pt  0.251  0.000  0.832 (multiplicity 2)
Pt  0.473  0.000  0.480 (multiplicity 2)

Density functional theory data (PBEsol) for a relaxed structure of Be2SbPt2.

Calculated values
- Raw formation energy: -0.295 eV/atom
- Calculated density: 12.54 Mg/m³

Cell lengths 7.063, 7.063, 2.813 Å; angles 90.00, 90.00, 90.00 degrees
Space group P4/mbm (No. 127)
Symmetry-distinct sites (fractional):
Be  0.124  0.376  0.000 (multiplicity 4)
Sb  0.000  0.000  0.000 (multiplicity 2)
Pt  0.155  0.655  0.500 (multiplicity 4)

Density functional theory data (PBEsol) for a relaxed structure of TcIrRu2.

Calculated values
- ΔH_f (0 K): -0.145 eV/atom
- Calculated density: 15.05 Mg/m³

Cell lengths 2.702, 4.286, 4.693 Å; angles 90.00, 90.00, 90.00 degrees
Space group Pmm2 (No. 25)
Symmetry-distinct sites (fractional):
Tc  0.000  0.000  0.000 (multiplicity 1)
Ir  0.500  0.500  0.826 (multiplicity 1)
Ru  0.000  0.500  0.327 (multiplicity 1)
Ru  0.500  0.000  0.489 (multiplicity 1)

| no. | calculated total energy (eV per cell) |
| --- | --- |
| 1 | -24.73 |
| 2 | -32.45 |
| 3 | -132.68 |
| 4 | -90.03 |
| 5 | -30.51 |
| 6 | -158.39 |
| 7 | -14.95 |
| 8 | -38.81 |
| 9 | -12.94 |
| 10 | -52.96 |
| 11 | -55.92 |
| 12 | -42.01 |